1.
PBE Pr4Pu3S8, optimized geometry; energy above the most stable polymorph in this dataset = 0.0 meV per atom; raw formation energy = -1907 meV per atom; calculated density = 6.9 g/cm³
1.0
5.7101 -5.7124 0.0000
5.7101 5.7124 0.0000
-5.6735 0.0000 5.7213
Pr Pu S
4 3 8
Cartesian
0.0000 0.0000 0.0000 Pr
2.8550 2.8562 0.0000 Pr
2.8550 -2.8562 0.0000 Pr
2.8733 0.0000 2.8606 Pr
-2.8367 0.0000 2.8606 Pu
0.0183 2.8562 2.8606 Pu
0.0183 -2.8562 2.8606 Pu
2.8733 2.9096 2.8606 S
-0.0328 0.0000 2.8734 S
-2.8006 0.0000 5.6862 S
5.7101 2.8411 0.0000 S
5.7101 -2.8411 0.0000 S
8.5473 0.0000 0.0351 S
5.7794 0.0000 2.8479 S
2.8733 -2.9096 2.8606 S


2.
PBE La3PCl, optimized geometry; energy above the most stable polymorph in this dataset = 0.0 meV per atom; raw formation energy = -627 meV per atom; calculated density = 4.5 g/cm³
1.0
5.6334 0.0000 0.0000
0.0000 5.6334 0.0000
0.0000 0.0000 5.6334
La P Cl
3 1 1
Cartesian
0.0000 0.0000 2.8167 La
0.0000 2.8167 0.0000 La
2.8167 0.0000 0.0000 La
0.0000 0.0000 0.0000 P
2.8167 2.8167 2.8167 Cl


Computed Fermi-level density of states, in the same sequence as the records: 28.372; 10.576 states/eV/f.u..